P.
The following is a PBE calculation of LaMnRe2 after structural relaxation, from Alexandria.

Structure (CIF):
```
data_LaMnRe2
_chemical_formula_sum 'La4 Mn4 Re8'
_cell_length_a 4.8860
_cell_length_b 4.8860
_cell_length_c 16.1632
_cell_angle_alpha 90.00
_cell_angle_beta 90.00
_cell_angle_gamma 90.00
_space_group_name_H-M_alt 'I 41/a m d'
_space_group_IT_number 141
loop_
_space_group_symop_operation_xyz
'x,y,z'
'-x,-y,-z'
'-y+1/4,x+3/4,z+1/4'
'y+1/4,-x+3/4,-z+1/4'
'-x+1/2,-y,z+1/2'
'x+1/2,y,-z+1/2'
'y+1/4,-x+1/4,z+3/4'
'-y+1/4,x+1/4,-z+3/4'
'x,-y,-z'
'-x,y,z'
'-y+1/4,-x+1/4,-z+3/4'
'y+1/4,x+1/4,z+3/4'
'-x+1/2,y,-z+1/2'
'x+1/2,-y,z+1/2'
'y+1/4,x+3/4,-z+1/4'
'-y+1/4,-x+3/4,z+1/4'
'x+1/2,y+1/2,z+1/2'
'-x+1/2,-y+1/2,-z+1/2'
'-y+3/4,x+1/4,z+3/4'
'y+3/4,-x+1/4,-z+3/4'
'-x,-y+1/2,z'
'x,y+1/2,-z'
'y+3/4,-x+3/4,z+1/4'
'-y+3/4,x+3/4,-z+1/4'
'x+1/2,-y+1/2,-z+1/2'
'-x+1/2,y+1/2,z+1/2'
'-y+3/4,-x+3/4,-z+1/4'
'y+3/4,x+3/4,z+1/4'
'-x,y+1/2,-z'
'x,-y+1/2,z'
'y+3/4,x+1/4,-z+3/4'
'-y+3/4,-x+1/4,z+3/4'
loop_
_atom_site_label
_atom_site_fract_x
_atom_site_fract_y
_atom_site_fract_z
_atom_site_occupancy
La1 0.0000 0.2500 0.3750 1
Mn1 0.0000 0.2500 0.8750 1
Re1 0.0000 0.0000 0.0000 1
```

Q.
The following is a PBE calculation of LaMnRe2 after structural relaxation, from Alexandria.

Structure (CIF):
```
data_LaMnRe2
_chemical_formula_sum 'La1 Mn1 Re2'
_cell_length_a 3.1133
_cell_length_b 3.1133
_cell_length_c 7.8429
_cell_angle_alpha 90.00
_cell_angle_beta 90.00
_cell_angle_gamma 90.00
_space_group_name_H-M_alt 'P 4 m m'
_space_group_IT_number 99
loop_
_space_group_symop_operation_xyz
'x,y,z'
'-y,x,z'
'-x,-y,z'
'y,-x,z'
'-x,y,z'
'y,x,z'
'x,-y,z'
'-y,-x,z'
loop_
_atom_site_label
_atom_site_fract_x
_atom_site_fract_y
_atom_site_fract_z
_atom_site_occupancy
La1 0.0000 0.0000 0.0000 1
Mn1 0.5000 0.5000 0.3199 1
Re1 0.0000 0.0000 0.5209 1
Re2 0.5000 0.5000 0.7012 1
```

The relative energies come out as P 51.7; Q 0.0, with values in kJ/mol of atoms.

P.
The following is a PBE calculation of LaMnRe2 after structural relaxation, from Alexandria.

Structure (CIF):
```
data_LaMnRe2
_chemical_formula_sum 'La1 Mn1 Re2'
_cell_length_a 3.8425
_cell_length_b 3.8425
_cell_length_c 4.9790
_cell_angle_alpha 90.00
_cell_angle_beta 90.00
_cell_angle_gamma 90.00
_space_group_name_H-M_alt 'P 4/m m m'
_space_group_IT_number 123
_space_group_name_Hall '-P 4 2'
loop_
_atom_site_label
_atom_site_fract_x
_atom_site_fract_y
_atom_site_fract_z
_atom_site_occupancy
La1 0.0000 0.0000 0.0000 1
Mn1 0.5000 0.5000 0.0000 1
Re1 0.0000 0.5000 0.5000 1
```

Q.
The following is a PBE calculation of LaMnRe2 after structural relaxation, from Alexandria.

Structure (CIF):
```
data_LaMnRe2
_chemical_formula_sum 'La2 Mn2 Re4'
_cell_length_a 3.1568
_cell_length_b 5.0065
_cell_length_c 9.7043
_cell_angle_alpha 90.00
_cell_angle_beta 90.00
_cell_angle_gamma 90.00
_space_group_name_H-M_alt 'I m m 2'
_space_group_IT_number 44
loop_
_space_group_symop_operation_xyz
'x,y,z'
'-x,-y,z'
'-x,y,z'
'x,-y,z'
'x+1/2,y+1/2,z+1/2'
'-x+1/2,-y+1/2,z+1/2'
'-x+1/2,y+1/2,z+1/2'
'x+1/2,-y+1/2,z+1/2'
loop_
_atom_site_label
_atom_site_fract_x
_atom_site_fract_y
_atom_site_fract_z
_atom_site_occupancy
La1 0.0000 0.0000 0.0000 1
Mn1 0.0000 0.5000 0.7855 1
Re1 0.0000 0.0000 0.5255 1
Re2 0.0000 0.5000 0.2286 1
```

R.
The following is a PBE calculation of LaMnRe2 after structural relaxation, from Alexandria.

Structure (CIF):
```
data_LaMnRe2
_chemical_formula_sum 'La1 Mn1 Re2'
_cell_length_a 4.6046
_cell_length_b 4.6046
_cell_length_c 3.3901
_cell_angle_alpha 90.00
_cell_angle_beta 90.00
_cell_angle_gamma 90.00
_space_group_name_H-M_alt 'P 4/m m m'
_space_group_IT_number 123
_space_group_name_Hall '-P 4 2'
loop_
_atom_site_label
_atom_site_fract_x
_atom_site_fract_y
_atom_site_fract_z
_atom_site_occupancy
La1 0.0000 0.0000 0.0000 1
Mn1 0.5000 0.5000 0.0000 1
Re1 0.0000 0.5000 0.5000 1
```

S.
The following is a PBE calculation of LaMnRe2 after structural relaxation, from Alexandria.

Structure (CIF):
```
data_LaMnRe2
_chemical_formula_sum 'La2 Mn2 Re4'
_cell_length_a 5.3175
_cell_length_b 9.8445
_cell_length_c 2.7492
_cell_angle_alpha 90.00
_cell_angle_beta 90.00
_cell_angle_gamma 90.00
_space_group_name_H-M_alt 'C m m m'
_space_group_IT_number 65
_space_group_name_Hall '-C 2 2'
loop_
_atom_site_label
_atom_site_fract_x
_atom_site_fract_y
_atom_site_fract_z
_atom_site_occupancy
La1 0.0000 0.0000 0.0000 1
Mn1 0.0000 0.5000 0.0000 1
Re1 0.2500 0.2500 0.5000 1
```

The relative energies come out as P 18.3; Q 0.0; R 22.5; S 19.3, with values in kJ/mol of atoms.

P.
The following is a PBE calculation of LaMn2Re after structural relaxation, from Alexandria.

Structure (CIF):
```
data_LaMn2Re
_chemical_formula_sum 'La2 Mn4 Re2'
_cell_length_a 3.3126
_cell_length_b 4.9932
_cell_length_c 9.4119
_cell_angle_alpha 90.00
_cell_angle_beta 90.00
_cell_angle_gamma 90.00
_space_group_name_H-M_alt 'I m m m'
_space_group_IT_number 71
_space_group_name_Hall '-I 2 2'
loop_
_atom_site_label
_atom_site_fract_x
_atom_site_fract_y
_atom_site_fract_z
_atom_site_occupancy
La1 0.0000 0.0000 0.0000 1
Mn1 0.0000 0.5000 0.2131 1
Re1 0.0000 0.0000 0.5000 1
```

Q.
The following is a PBE calculation of LaMn2Re after structural relaxation, from Alexandria.

Structure (CIF):
```
data_LaMn2Re
_chemical_formula_sum 'La2 Mn4 Re2'
_cell_length_a 3.0960
_cell_length_b 4.7308
_cell_length_c 9.9835
_cell_angle_alpha 90.00
_cell_angle_beta 90.00
_cell_angle_gamma 90.00
_space_group_name_H-M_alt 'I m m 2'
_space_group_IT_number 44
loop_
_space_group_symop_operation_xyz
'x,y,z'
'-x,-y,z'
'-x,y,z'
'x,-y,z'
'x+1/2,y+1/2,z+1/2'
'-x+1/2,-y+1/2,z+1/2'
'-x+1/2,y+1/2,z+1/2'
'x+1/2,-y+1/2,z+1/2'
loop_
_atom_site_label
_atom_site_fract_x
_atom_site_fract_y
_atom_site_fract_z
_atom_site_occupancy
La1 0.0000 0.0000 0.0000 1
Mn1 0.0000 0.0000 0.5495 1
Mn2 0.0000 0.5000 0.7836 1
Re1 0.0000 0.5000 0.2395 1
```

The relative energies come out as P 4.6; Q 0.0, with values in kJ/mol of atoms.

P.
The following is a PBE calculation of LaMn2Re after structural relaxation, from Alexandria.

Structure (CIF):
```
data_LaMn2Re
_chemical_formula_sum 'La1 Mn2 Re1'
_cell_length_a 3.0774
_cell_length_b 3.0692
_cell_length_c 7.5951
_cell_angle_alpha 90.00
_cell_angle_beta 90.01
_cell_angle_gamma 90.00
_space_group_name_H-M_alt 'P 1 m 1'
_space_group_IT_number 6
loop_
_space_group_symop_operation_xyz
'x,y,z'
'x,-y,z'
loop_
_atom_site_label
_atom_site_fract_x
_atom_site_fract_y
_atom_site_fract_z
_atom_site_occupancy
La1 0.0000 0.0000 0.0000 1
Mn1 0.5019 0.5000 0.6686 1
Mn2 0.9991 0.0000 0.4861 1
Re1 0.5011 0.5000 0.3122 1
```

Q.
The following is a PBE calculation of LaMn2Re after structural relaxation, from Alexandria.

Structure (CIF):
```
data_LaMn2Re
_chemical_formula_sum 'La1 Mn2 Re1'
_cell_length_a 3.3029
_cell_length_b 4.7001
_cell_length_c 4.7240
_cell_angle_alpha 90.00
_cell_angle_beta 90.00
_cell_angle_gamma 90.00
_space_group_name_H-M_alt 'P m m m'
_space_group_IT_number 47
loop_
_space_group_symop_operation_xyz
'x,y,z'
'-x,-y,-z'
'-x,-y,z'
'x,y,-z'
'x,-y,-z'
'-x,y,z'
'-x,y,-z'
'x,-y,z'
loop_
_atom_site_label
_atom_site_fract_x
_atom_site_fract_y
_atom_site_fract_z
_atom_site_occupancy
La1 0.0000 0.0000 0.0000 1
Mn1 0.0000 0.5000 0.5000 1
Mn2 0.5000 0.5000 0.0000 1
Re1 0.5000 0.0000 0.5000 1
```

The relative energies come out as P 0.0; Q 29.7, with values in kJ/mol of atoms.

P.
The following is a PBE calculation of LaMn2Re after structural relaxation, from Alexandria.

Structure (CIF):
```
data_LaMn2Re
_chemical_formula_sum 'La4 Mn8 Re4'
_cell_length_a 7.4585
_cell_length_b 7.4585
_cell_length_c 5.8619
_cell_angle_alpha 90.00
_cell_angle_beta 90.00
_cell_angle_gamma 90.00
_space_group_name_H-M_alt 'I -4 2 d'
_space_group_IT_number 122
_space_group_name_Hall 'I -4 2bw'
loop_
_atom_site_label
_atom_site_fract_x
_atom_site_fract_y
_atom_site_fract_z
_atom_site_occupancy
La1 0.0000 0.0000 0.0000 1
Mn1 0.1836 0.7500 0.6250 1
Re1 0.0000 0.0000 0.5000 1
```

Q.
The following is a PBE calculation of LaMn2Re after structural relaxation, from Alexandria.

Structure (CIF):
```
data_LaMn2Re
_chemical_formula_sum 'La3 Mn6 Re3'
_cell_length_a 4.1392
_cell_length_b 4.1392
_cell_length_c 16.4484
_cell_angle_alpha 90.00
_cell_angle_beta 90.00
_cell_angle_gamma 120.00
_space_group_name_H-M_alt 'R 3 m'
_space_group_IT_number 160
_space_group_name_Hall 'R 3 -2"'
loop_
_atom_site_label
_atom_site_fract_x
_atom_site_fract_y
_atom_site_fract_z
_atom_site_occupancy
La1 0.0000 0.0000 0.0000 1
Mn1 0.0000 0.0000 0.2012 1
Mn2 0.0000 0.0000 0.4865 1
Re1 0.0000 0.0000 0.8000 1
```

R.
The following is a PBE calculation of LaMn2Re after structural relaxation, from Alexandria.

Structure (CIF):
```
data_LaMn2Re
_chemical_formula_sum 'La1 Mn2 Re1'
_cell_length_a 3.0776
_cell_length_b 3.0776
_cell_length_c 7.5303
_cell_angle_alpha 90.00
_cell_angle_beta 90.00
_cell_angle_gamma 90.00
_space_group_name_H-M_alt 'P 4/m m m'
_space_group_IT_number 123
_space_group_name_Hall '-P 4 2'
loop_
_atom_site_label
_atom_site_fract_x
_atom_site_fract_y
_atom_site_fract_z
_atom_site_occupancy
La1 0.0000 0.0000 0.0000 1
Mn1 0.5000 0.5000 0.3128 1
Re1 0.0000 0.0000 0.5000 1
```

S.
The following is a PBE calculation of LaMn2Re after structural relaxation, from Alexandria.

Structure (CIF):
```
data_LaMn2Re
_chemical_formula_sum 'La3 Mn6 Re3'
_cell_length_a 2.9685
_cell_length_b 2.9685
_cell_length_c 28.0746
_cell_angle_alpha 90.00
_cell_angle_beta 90.00
_cell_angle_gamma 120.00
_space_group_name_H-M_alt 'R 3 m'
_space_group_IT_number 160
_space_group_name_Hall 'R 3 -2"'
loop_
_atom_site_label
_atom_site_fract_x
_atom_site_fract_y
_atom_site_fract_z
_atom_site_occupancy
La1 0.0000 0.0000 0.0000 1
Mn1 0.0000 0.0000 0.2317 1
Mn2 0.0000 0.0000 0.4976 1
Re1 0.0000 0.0000 0.7644 1
```

The relative energies come out as P 40.3; Q 0.0; R 1.6; S 36.1, with values in kJ/mol of atoms.

P.
The following is a PBE calculation of LaMn2Re after structural relaxation, from Alexandria.

Structure (CIF):
```
data_LaMn2Re
_chemical_formula_sum 'La3 Mn6 Re3'
_cell_length_a 4.1234
_cell_length_b 4.1234
_cell_length_c 16.0318
_cell_angle_alpha 90.00
_cell_angle_beta 90.00
_cell_angle_gamma 120.00
_space_group_name_H-M_alt 'R -3 m'
_space_group_IT_number 166
_space_group_name_Hall '-R 3 2"'
loop_
_atom_site_label
_atom_site_fract_x
_atom_site_fract_y
_atom_site_fract_z
_atom_site_occupancy
La1 0.0000 0.0000 0.0000 1
Mn1 0.0000 0.0000 0.1934 1
Re1 0.0000 0.0000 0.5000 1
```

Q.
The following is a PBE calculation of LaMn2Re after structural relaxation, from Alexandria.

Structure (CIF):
```
data_LaMn2Re
_chemical_formula_sum 'La1 Mn2 Re1'
_cell_length_a 4.7417
_cell_length_b 4.7417
_cell_length_c 2.9711
_cell_angle_alpha 90.00
_cell_angle_beta 90.00
_cell_angle_gamma 90.00
_space_group_name_H-M_alt 'P 4/m m m'
_space_group_IT_number 123
_space_group_name_Hall '-P 4 2'
loop_
_atom_site_label
_atom_site_fract_x
_atom_site_fract_y
_atom_site_fract_z
_atom_site_occupancy
La1 0.0000 0.0000 0.0000 1
Mn1 0.0000 0.5000 0.5000 1
Re1 0.5000 0.5000 0.0000 1
```

The relative energies come out as P 0.0; Q 35.6, with values in kJ/mol of atoms.